(1)
The following is a GGA-PBE calculation of CdSiHg after structural relaxation, from the Alexandria database.

Structure (POSCAR):
```
CdSiHg
1.0
-1.5596 1.5596 6.5556
1.5596 -1.5596 6.5556
1.5596 1.5596 -6.5556
Cd Si Hg
1 1 1
Direct
0.0000 0.0000 0.0000
0.6528 0.6528 0.0000
0.3173 0.3173 0.0000
```

Calculated values
**D(E_F)**: 0.285 states/eV per atom
**Symmetry**: I4mm, No. 107
**Total magnetization**: 0.000 μB/f.u.
**Raw total energy**: -5.48 eV per formula unit


(2)
The following is a GGA-PBE calculation of CdSiHg2 after structural relaxation, from the Alexandria database.

Structure (POSCAR):
```
CdSiHg2
1.0
-2.2446 2.2446 4.3615
2.2446 -2.2446 4.3615
2.2446 2.2446 -4.3615
Cd Si Hg
1 1 2
Direct
0.0000 0.0000 0.0000
0.5000 0.5000 0.0000
0.2500 0.7500 0.5000
0.7500 0.2500 0.5000
```

Calculated values
**Offset from the most stable computed form**: 88 meV/atom
**D(E_F)**: 0.406 states/eV per atom
**Symmetry**: I4/mmm, No. 139
**Total magnetization**: 0.000 μB/f.u.
**Raw total energy**: -5.50 eV per formula unit


(3)
The following is a GGA-PBE calculation of CdSiHg3 after structural relaxation, from the Alexandria database.

Structure (POSCAR):
```
CdSiHg3
1.0
5.2107 0.0000 0.0000
0.0000 5.2107 0.0000
0.0000 0.0000 5.2107
Cd Si Hg
1 1 3
Direct
0.0000 0.0000 0.0000
0.5000 0.5000 0.5000
0.0000 0.5000 0.5000
0.5000 0.0000 0.5000
0.5000 0.5000 0.0000
```

Calculated values
**Offset from the most stable computed form**: 0 meV/atom
**D(E_F)**: 0.453 states/eV per atom
**Symmetry**: Pm-3m, No. 221
**Total magnetization**: 0.000 μB/f.u.
**Raw total energy**: -5.99 eV per formula unit


(4)
The following is a GGA-PBE calculation of CdSi4Hg after structural relaxation, from the Alexandria database.

Structure (POSCAR):
```
CdSi4Hg
1.0
0.0000 3.8114 3.8114
3.8114 0.0000 3.8114
3.8114 3.8114 0.0000
Cd Si Hg
1 4 1
Direct
0.0000 0.0000 0.0000
0.3749 0.3749 0.3749
0.3749 0.3749 0.8752
0.3749 0.8752 0.3749
0.8752 0.3749 0.3749
0.7500 0.7500 0.7500
```

Calculated values
**D(E_F)**: 0.392 states/eV per atom
**Symmetry**: F-43m, No. 216
**Total magnetization**: 0.000 μB/f.u.
**Raw total energy**: -19.73 eV per formula unit


(5)
The following is a GGA-PBE calculation of CdSiHg after structural relaxation, from the Alexandria database.

Structure (POSCAR):
```
CdSiHg
1.0
0.0000 2.6324 8.2338
1.4780 0.0000 8.2338
1.4780 2.6324 0.0000
Cd Si Hg
1 1 1
Direct
0.0000 0.0000 0.0000
0.3408 0.3408 0.6592
0.6759 0.6759 0.3241
```

Calculated values
**D(E_F)**: 0.208 states/eV per atom
**Symmetry**: Fmm2, No. 42
**Total magnetization**: 0.000 μB/f.u.
**Raw total energy**: -5.56 eV per formula unit


(6)
The following is a GGA-PBE calculation of CdSi3Hg after structural relaxation, from the Alexandria database.

Structure (POSCAR):
```
CdSi3Hg
1.0
5.0678 0.0000 0.0000
0.0000 5.0678 0.0000
0.0000 0.0000 5.0678
Cd Si Hg
1 3 1
Direct
0.0000 0.0000 0.0000
0.0000 0.0000 0.5000
0.0000 0.5000 0.0000
0.5000 0.0000 0.0000
0.5000 0.5000 0.5000
```

Calculated values
**Offset from the most stable computed form**: 0 meV/atom
**D(E_F)**: 0.316 states/eV per atom
**Symmetry**: Pm-3m, No. 221
**Total magnetization**: 0.000 μB/f.u.
**Raw total energy**: -11.43 eV per formula unit


(7)
The following is a GGA-PBE calculation of CdSiHg2 after structural relaxation, from the Alexandria database.

Structure (POSCAR):
```
CdSiHg2
1.0
6.6806 -1.5978 0.0000
6.6806 1.5978 0.0000
-1.5784 0.0000 4.3440
Cd Si Hg
1 1 2
Direct
0.0000 0.0000 0.0000
0.6952 0.6952 0.1951
0.1939 0.1939 0.6938
0.3990 0.3990 0.4002
```

Calculated values
**Offset from the most stable computed form**: 0 meV/atom
**D(E_F)**: 0.386 states/eV per atom
**Symmetry**: Cm, No. 8
**Total magnetization**: 0.000 μB/f.u.
**Raw total energy**: -5.85 eV per formula unit


(8)
The following is a GGA-PBE calculation of CdSiHg after structural relaxation, from the Alexandria database.

Structure (POSCAR):
```
CdSiHg
1.0
-1.4227 1.9909 5.7555
1.4227 -1.9909 5.7555
1.4227 1.9909 -5.7555
Cd Si Hg
1 1 1
Direct
0.0000 0.0000 0.0000
0.6451 0.6451 0.0000
0.3126 0.3126 0.0000
```

Calculated values
**D(E_F)**: 0.416 states/eV per atom
**Symmetry**: Imm2, No. 44
**Total magnetization**: 0.000 μB/f.u.
**Raw total energy**: -5.48 eV per formula unit


(9)
The following is a GGA-PBE calculation of CdSiHg2 after structural relaxation, from the Alexandria database.

Structure (POSCAR):
```
CdSiHg2
1.0
1.4865 0.8582 11.9167
-1.4865 0.8582 11.9167
0.0000 -1.7165 11.9167
Cd Si Hg
1 1 2
Direct
0.0000 0.0000 0.0000
0.5000 0.5000 0.5000
0.2451 0.2451 0.2451
0.7549 0.7549 0.7549
```

Calculated values
**Offset from the most stable computed form**: 43 meV/atom
**D(E_F)**: 0.310 states/eV per atom
**Symmetry**: R-3m, No. 166
**Total magnetization**: 0.000 μB/f.u.
**Raw total energy**: -5.68 eV per formula unit


(10)
The following is a GGA-PBE calculation of CdSiHg2 after structural relaxation, from the Alexandria database.

Structure (POSCAR):
```
CdSiHg2
1.0
1.4821 0.8557 12.0454
-1.4821 0.8557 12.0454
0.0000 -1.7114 12.0454
Cd Si Hg
1 1 2
Direct
0.0000 0.0000 0.0000
0.7404 0.7404 0.7404
0.2461 0.2461 0.2461
0.4883 0.4883 0.4883
```

Calculated values
**Offset from the most stable computed form**: 20 meV/atom
**D(E_F)**: 0.229 states/eV per atom
**Symmetry**: R3m, No. 160
**Total magnetization**: 0.000 μB/f.u.
**Raw total energy**: -5.77 eV per formula unit


(11)
The following is a GGA-PBE calculation of CdSiHg2 after structural relaxation, from the Alexandria database.

Structure (POSCAR):
```
CdSiHg2
1.0
1.4469 -2.8615 0.0000
1.4469 2.8615 0.0000
0.0000 0.0000 10.9837
Cd Si Hg
1 1 2
Direct
0.0000 0.0000 0.0000
0.5000 0.5000 0.7709
0.0000 0.0000 0.5299
0.5000 0.5000 0.2591
```

Calculated values
**Offset from the most stable computed form**: 50 meV/atom
**D(E_F)**: 0.314 states/eV per atom
**Symmetry**: Cmm2, No. 35
**Total magnetization**: 0.000 μB/f.u.
**Raw total energy**: -5.65 eV per formula unit


(12)
The following is a GGA-PBE calculation of CdSiHg2 after structural relaxation, from the Alexandria database.

Structure (POSCAR):
```
CdSiHg2
1.0
3.2448 0.0000 0.0000
0.0000 3.2448 0.0000
0.0000 0.0000 8.3300
Cd Si Hg
1 1 2
Direct
0.0000 0.0000 0.0000
0.0000 0.0000 0.5000
0.5000 0.5000 0.2699
0.5000 0.5000 0.7301
```

Calculated values
**Offset from the most stable computed form**: 72 meV/atom
**D(E_F)**: 0.345 states/eV per atom
**Symmetry**: P4/mmm, No. 123
**Total magnetization**: 0.000 μB/f.u.
**Raw total energy**: -5.56 eV per formula unit


(13)
The following is a GGA-PBE calculation of SrCdSiHg after structural relaxation, from the Alexandria database.

Structure (POSCAR):
```
SrCdSiHg
1.0
0.0000 3.6882 3.6882
3.6882 0.0000 3.6882
3.6882 3.6882 0.0000
Sr Cd Si Hg
1 1 1 1
Direct
0.0000 0.0000 0.0000
0.5000 0.5000 0.5000
0.7500 0.7500 0.7500
0.2500 0.2500 0.2500
```

Calculated values
**D(E_F)**: 0.115 states/eV per atom
**Symmetry**: F-43m, No. 216
**Total magnetization**: 0.000 μB/f.u.
**Raw total energy**: -8.87 eV per formula unit


(14)
The following is a GGA-PBE calculation of Sm3Cd2Hg7 after structural relaxation, from the Alexandria database.

Structure (POSCAR):
```
Sm3Cd2Hg7
1.0
2.4541 -14.9634 0.0000
2.4541 14.9634 0.0000
0.0000 0.0000 4.4677
Sm Cd Hg
3 2 7
Direct
0.0000 0.0000 0.0000
0.1529 0.8471 0.0000
0.8471 0.1529 0.0000
0.3448 0.6552 0.5000
0.6552 0.3448 0.5000
0.0768 0.9232 0.5000
0.2254 0.7746 0.5000
0.4196 0.5804 0.0000
0.5000 0.5000 0.5000
0.5804 0.4196 0.0000
0.7746 0.2254 0.5000
0.9232 0.0768 0.5000
```

Calculated values
**Energy of formation**: -2.63 eV/f.u.
**D(E_F)**: 0.715 states/eV per atom
**Symmetry**: Cmmm, No. 65
**Total magnetization**: 0.000 μB/f.u.
**Raw total energy**: -20.74 eV per formula unit


(15)
The following is a GGA-PBE calculation of Sm3Cd2Hg after structural relaxation, from the Alexandria database.

Structure (POSCAR):
```
Sm3Cd2Hg
1.0
5.3830 0.0000 0.0000
-2.6915 4.6618 0.0000
0.0000 0.0000 6.5907
Sm Cd Hg
3 2 1
Direct
0.0000 0.0000 0.0000
0.3333 0.6667 0.6612
0.6667 0.3333 0.3388
0.3333 0.6667 0.1571
0.6667 0.3333 0.8429
0.0000 0.0000 0.5000
```

Calculated values
**Energy of formation**: -2.21 eV/f.u.
**D(E_F)**: 1.150 states/eV per atom
**Symmetry**: P-3m1, No. 164
**Total magnetization**: 1.336 μB/f.u.
**Raw total energy**: -18.50 eV per formula unit


(16)
The following is a GGA-PBE calculation of Sm12Cd2Hg5 after structural relaxation, from the Alexandria database.

Structure (POSCAR):
```
Sm12Cd2Hg5
1.0
6.4576 -5.2861 0.0000
6.4576 5.2861 0.0000
-1.7617 0.0000 8.2428
Sm Cd Hg
12 2 5
Direct
0.0038 0.6649 0.1929
0.0994 0.0994 0.1527
0.1736 0.6159 0.6044
0.3351 0.9962 0.8071
0.3841 0.8264 0.3956
0.3919 0.3919 0.2575
0.6081 0.6081 0.7425
0.6159 0.1736 0.6044
0.6649 0.0038 0.1929
0.8264 0.3841 0.3956
0.9006 0.9006 0.8473
0.9962 0.3351 0.8071
0.2759 0.7241 0.0000
0.7241 0.2759 0.0000
0.0000 0.0000 0.5000
0.2322 0.2322 0.5022
0.3706 0.3706 0.8741
0.6294 0.6294 0.1259
0.7678 0.7678 0.4978
```

Calculated values
**Energy of formation**: -4.09 eV/f.u.
**D(E_F)**: 1.154 states/eV per atom
**Symmetry**: C2/m, No. 12
**Total magnetization**: 0.002 μB/f.u.
**Raw total energy**: -64.05 eV per formula unit


(17)
The following is a GGA-PBE calculation of Sm4CdHg after structural relaxation, from the Alexandria database.

Structure (POSCAR):
```
Sm4CdHg
1.0
4.5241 -2.6065 0.0000
4.5241 2.6065 0.0000
-3.0464 0.0000 8.5238
Sm Cd Hg
4 1 1
Direct
0.1242 0.1242 0.3725
0.3744 0.3744 0.1229
0.6256 0.6256 0.8771
0.8758 0.8758 0.6275
0.5000 0.5000 0.5000
0.0000 0.0000 0.0000
```

Calculated values
**Offset from the most stable computed form**: 247 meV/atom
**Energy of formation**: -0.02 eV/f.u.
**D(E_F)**: 1.774 states/eV per atom
**Symmetry**: C2/m, No. 12
**Total magnetization**: 1.068 μB/f.u.
**Raw total energy**: -20.11 eV per formula unit


(18)
The following is a GGA-PBE calculation of Sm5Cd2Hg after structural relaxation, from the Alexandria database.

Structure (POSCAR):
```
Sm5Cd2Hg
1.0
6.7350 0.0000 0.0000
0.0000 13.1132 0.0000
0.0000 0.0000 5.3376
Sm Cd Hg
10 4 2
Direct
0.0000 0.0000 0.0000
0.1449 0.2758 0.0000
0.1564 0.6125 0.5000
0.3436 0.1125 0.5000
0.3551 0.7758 0.0000
0.5000 0.5000 0.0000
0.6449 0.2242 0.0000
0.6564 0.8875 0.5000
0.8436 0.3875 0.5000
0.8551 0.7242 0.0000
0.1291 0.8637 0.5000
0.3709 0.3637 0.5000
0.6291 0.6363 0.5000
0.8709 0.1363 0.5000
0.0000 0.5000 0.0000
0.5000 0.0000 0.0000
```

Calculated values
**Offset from the most stable computed form**: 0 meV/atom
**Energy of formation**: -1.92 eV/f.u.
**D(E_F)**: 1.381 states/eV per atom
**Symmetry**: Pbam, No. 55
**Total magnetization**: 0.001 μB/f.u.
**Raw total energy**: -27.65 eV per formula unit


(19)
The following is a GGA-PBE calculation of Sm3Cd2Hg4 after structural relaxation, from the Alexandria database.

Structure (POSCAR):
```
Sm3Cd2Hg4
1.0
5.5582 -2.5075 0.0000
5.5582 2.5075 0.0000
-4.5140 0.0000 8.1591
Sm Cd Hg
3 2 4
Direct
0.0000 0.0000 0.0000
0.3362 0.3362 0.3301
0.6638 0.6638 0.6699
0.3868 0.3868 0.7184
0.6132 0.6132 0.2816
0.0648 0.0648 0.3950
0.2863 0.2863 0.9492
0.7137 0.7137 0.0508
0.9352 0.9352 0.6050
```

Calculated values
**Energy of formation**: -3.65 eV/f.u.
**D(E_F)**: 0.744 states/eV per atom
**Symmetry**: C2/m, No. 12
**Total magnetization**: 0.000 μB/f.u.
**Raw total energy**: -20.85 eV per formula unit


(20)
The following is a GGA-PBE calculation of Sm2Cd5Hg after structural relaxation, from the Alexandria database.

Structure (POSCAR):
```
Sm2Cd5Hg
1.0
6.6483 0.0000 0.0000
0.0000 13.2937 0.0000
0.0000 0.0000 4.5601
Sm Cd Hg
4 10 2
Direct
0.2347 0.1210 0.0000
0.2653 0.6210 0.0000
0.7347 0.3790 0.0000
0.7653 0.8790 0.0000
0.0000 0.5000 0.5000
0.0132 0.7471 0.5000
0.2345 0.3703 0.0000
0.2655 0.8703 0.0000
0.4868 0.2471 0.5000
0.5000 0.0000 0.5000
0.5132 0.7529 0.5000
0.7345 0.1297 0.0000
0.7655 0.6297 0.0000
0.9868 0.2529 0.5000
0.0000 0.0000 0.5000
0.5000 0.5000 0.5000
```

Calculated values
**Offset from the most stable computed form**: 0 meV/atom
**Energy of formation**: -2.17 eV/f.u.
**D(E_F)**: 0.955 states/eV per atom
**Symmetry**: Pbam, No. 55
**Total magnetization**: 0.000 μB/f.u.
**Raw total energy**: -16.49 eV per formula unit


(21)
The following is a GGA-PBE calculation of Sm6CdHg3 after structural relaxation, from the Alexandria database.

Structure (POSCAR):
```
Sm6CdHg3
1.0
9.4050 0.0000 0.0000
0.0000 5.3713 0.0000
-3.5279 0.0000 11.2714
Sm Cd Hg
12 2 6
Direct
0.0298 0.2500 0.4063
0.1555 0.7500 0.1823
0.2431 0.2500 0.0007
0.3451 0.7500 0.8104
0.3717 0.2500 0.3444
0.3992 0.2500 0.6214
0.6008 0.7500 0.3786
0.6283 0.7500 0.6556
0.6549 0.2500 0.1896
0.7569 0.7500 0.9993
0.8445 0.2500 0.8177
0.9702 0.7500 0.5937
0.4532 0.7500 0.0984
0.5468 0.2500 0.9016
0.0316 0.7500 0.8800
0.1244 0.2500 0.7175
0.2742 0.7500 0.4744
0.7258 0.2500 0.5256
0.8756 0.7500 0.2825
0.9684 0.2500 0.1200
```

Calculated values
**Energy of formation**: -3.08 eV/f.u.
**D(E_F)**: 1.187 states/eV per atom
**Symmetry**: P2_1/m, No. 11
**Total magnetization**: 0.000 μB/f.u.
**Raw total energy**: -33.21 eV per formula unit


(22)
The following is a GGA-PBE calculation of SmCd2Hg8 after structural relaxation, from the Alexandria database.

Structure (POSCAR):
```
SmCd2Hg8
1.0
7.7237 -2.5586 0.0000
7.7237 2.5586 0.0000
-4.4633 0.0000 7.0343
Sm Cd Hg
1 2 8
Direct
0.0000 0.0000 0.0000
0.2796 0.2796 0.2813
0.7204 0.7204 0.7187
0.1395 0.1395 0.4519
0.1431 0.1431 0.8334
0.3515 0.3515 0.8477
0.4974 0.4974 0.3109
0.5026 0.5026 0.6891
0.6485 0.6485 0.1523
0.8569 0.8569 0.1666
0.8605 0.8605 0.5481
```

Calculated values
**Offset from the most stable computed form**: 0 meV/atom
**Energy of formation**: -1.34 eV/f.u.
**D(E_F)**: 0.355 states/eV per atom
**Symmetry**: C2/m, No. 12
**Total magnetization**: 0.000 μB/f.u.
**Raw total energy**: -10.31 eV per formula unit


(23)
The following is a GGA-PBE calculation of SmCdHg after structural relaxation, from the Alexandria database.

Structure (POSCAR):
```
SmCdHg
1.0
5.0241 0.0000 0.0000
-2.5121 4.3510 0.0000
0.0000 0.0000 3.4574
Sm Cd Hg
1 1 1
Direct
0.0000 0.0000 0.0000
0.3333 0.6667 0.5000
0.6667 0.3333 0.5000
```

Calculated values
**Energy of formation**: -1.17 eV/f.u.
**D(E_F)**: 0.835 states/eV per atom
**Symmetry**: P-6m2, No. 187
**Total magnetization**: 0.001 μB/f.u.
**Raw total energy**: -7.11 eV per formula unit


(24)
The following is a GGA-PBE calculation of SmCdHg2 after structural relaxation, from the Alexandria database.

Structure (POSCAR):
```
SmCdHg2
1.0
4.7564 0.0000 0.0000
0.0000 4.7564 0.0000
0.0000 0.0000 4.4571
Sm Cd Hg
1 1 2
Direct
0.0000 0.0000 0.0000
0.5000 0.5000 0.0000
0.0000 0.5000 0.5000
0.5000 0.0000 0.5000
```

Calculated values
**Offset from the most stable computed form**: 70 meV/atom
**Energy of formation**: -1.29 eV/f.u.
**D(E_F)**: 0.845 states/eV per atom
**Symmetry**: P4/mmm, No. 123
**Total magnetization**: 0.000 μB/f.u.
**Raw total energy**: -7.53 eV per formula unit


(25)
The following is a GGA-PBE calculation of SmCdHg2 after structural relaxation, from the Alexandria database.

Structure (POSCAR):
```
SmCdHg2
1.0
2.0588 1.1887 7.6762
-2.0588 1.1887 7.6762
0.0000 -2.3773 7.6762
Sm Cd Hg
1 1 2
Direct
0.0000 0.0000 0.0000
0.1672 0.1672 0.1672
0.4219 0.4219 0.4219
0.5778 0.5778 0.5778
```

Calculated values
**Offset from the most stable computed form**: 215 meV/atom
**Energy of formation**: -0.71 eV/f.u.
**D(E_F)**: 0.768 states/eV per atom
**Symmetry**: R3m, No. 160
**Total magnetization**: 0.000 μB/f.u.
**Raw total energy**: -6.95 eV per formula unit